[1]
Material: TmPu2
Method: DFT, PBE
State: relaxed

Structure (CIF):
```
data_TmPu2
_chemical_formula_sum 'Tm2 Pu4'
_cell_length_a 6.131
_cell_length_b 6.131
_cell_length_c 6.131
_cell_angle_alpha 60.00
_cell_angle_beta 60.00
_cell_angle_gamma 60.00
_space_group_name_H-M_alt 'P 1'
_space_group_IT_number 1
loop_
_space_group_symop_operation_xyz
'x,y,z'
loop_
_atom_site_label
_atom_site_type_symbol
_atom_site_fract_x
_atom_site_fract_y
_atom_site_fract_z
Tm1 Tm 0.125 0.125 0.125
Tm2 Tm 0.875 0.875 0.875
Pu1 Pu 0.000 0.500 0.500
Pu2 Pu 0.500 0.000 0.500
Pu3 Pu 0.500 0.500 0.000
Pu4 Pu 0.500 0.500 0.500
```

Values from the calculation:
Total magnetic moment ... 22.57 μB per cell
Energy relative to the elements ... 0.227 eV/atom
Symmetry ... No. 227

[2]
Material: TmPu3
Method: DFT, PBE
State: relaxed

Structure (CIF):
```
data_TmPu3
_chemical_formula_sum 'Tm1 Pu3'
_cell_length_a 3.505
_cell_length_b 5.232
_cell_length_c 5.393
_cell_angle_alpha 90.00
_cell_angle_beta 90.00
_cell_angle_gamma 90.00
_space_group_name_H-M_alt 'P 1'
_space_group_IT_number 1
loop_
_space_group_symop_operation_xyz
'x,y,z'
loop_
_atom_site_label
_atom_site_type_symbol
_atom_site_fract_x
_atom_site_fract_y
_atom_site_fract_z
Tm1 Tm 0.000 0.000 0.000
Pu1 Pu 0.000 0.500 0.571
Pu2 Pu 0.500 0.000 0.512
Pu3 Pu 0.500 0.500 0.219
```

Values from the calculation:
Total magnetic moment ... 5.44 μB per cell
Energy relative to the elements ... 0.258 eV/atom
Symmetry ... No. 25

[3]
Material: TmPu2
Method: DFT, PBE
State: relaxed

Structure (CIF):
```
data_TmPu2
_chemical_formula_sum 'Tm1 Pu2'
_cell_length_a 6.310
_cell_length_b 6.310
_cell_length_c 6.310
_cell_angle_alpha 149.50
_cell_angle_beta 149.50
_cell_angle_gamma 43.68
_space_group_name_H-M_alt 'P 1'
_space_group_IT_number 1
loop_
_space_group_symop_operation_xyz
'x,y,z'
loop_
_atom_site_label
_atom_site_type_symbol
_atom_site_fract_x
_atom_site_fract_y
_atom_site_fract_z
Tm1 Tm 0.000 0.000 0.000
Pu1 Pu 0.283 0.283 0.000
Pu2 Pu 0.717 0.717 0.000
```

Values from the calculation:
Total magnetic moment ... 0.00 μB per cell
Energy relative to the elements ... 0.284 eV/atom
Symmetry ... No. 139

[4]
Material: Tm3Pu
Method: DFT, PBE
State: relaxed

Structure (CIF):
```
data_Tm3Pu
_chemical_formula_sum 'Tm3 Pu1'
_cell_length_a 5.981
_cell_length_b 5.981
_cell_length_c 5.981
_cell_angle_alpha 131.79
_cell_angle_beta 131.79
_cell_angle_gamma 70.56
_space_group_name_H-M_alt 'P 1'
_space_group_IT_number 1
loop_
_space_group_symop_operation_xyz
'x,y,z'
loop_
_atom_site_label
_atom_site_type_symbol
_atom_site_fract_x
_atom_site_fract_y
_atom_site_fract_z
Tm1 Tm 0.000 0.000 0.000
Tm2 Tm 0.250 0.750 0.500
Tm3 Tm 0.750 0.250 0.500
Pu1 Pu 0.500 0.500 0.000
```

Values from the calculation:
Total magnetic moment ... 6.94 μB per cell
Energy relative to the elements ... 0.110 eV/atom
Symmetry ... No. 139

[5]
Material: TmPu3
Method: DFT, PBE
State: relaxed

Structure (CIF):
```
data_TmPu3
_chemical_formula_sum 'Tm1 Pu3'
_cell_length_a 6.443
_cell_length_b 6.443
_cell_length_c 6.443
_cell_angle_alpha 147.48
_cell_angle_beta 62.00
_cell_angle_gamma 128.78
_space_group_name_H-M_alt 'P 1'
_space_group_IT_number 1
loop_
_space_group_symop_operation_xyz
'x,y,z'
loop_
_atom_site_label
_atom_site_type_symbol
_atom_site_fract_x
_atom_site_fract_y
_atom_site_fract_z
Tm1 Tm 0.000 0.000 0.000
Pu1 Pu 0.273 0.507 0.765
Pu2 Pu 0.499 0.999 0.500
Pu3 Pu 0.742 0.507 0.235
```

Values from the calculation:
Total magnetic moment ... 17.98 μB per cell
Energy relative to the elements ... 0.264 eV/atom
Symmetry ... No. 44

[6]
Material: Tm5Pu
Method: DFT, PBE
State: relaxed

Structure (CIF):
```
data_Tm5Pu
_chemical_formula_sum 'Tm5 Pu1'
_cell_length_a 3.671
_cell_length_b 9.046
_cell_length_c 9.046
_cell_angle_alpha 36.32
_cell_angle_beta 90.00
_cell_angle_gamma 90.00
_space_group_name_H-M_alt 'P 1'
_space_group_IT_number 1
loop_
_space_group_symop_operation_xyz
'x,y,z'
loop_
_atom_site_label
_atom_site_type_symbol
_atom_site_fract_x
_atom_site_fract_y
_atom_site_fract_z
Tm1 Tm 0.000 0.000 0.000
Tm2 Tm 0.000 0.304 0.304
Tm3 Tm 0.000 0.653 0.653
Tm4 Tm 0.500 0.473 0.473
Tm5 Tm 0.500 0.833 0.833
Pu1 Pu 0.500 0.151 0.151
```

Values from the calculation:
Total magnetic moment ... 7.12 μB per cell
Energy relative to the elements ... 0.131 eV/atom
Symmetry ... No. 38